[1]
Compound: PmPr12Er5
Source: Alexandria
Functional: PBE
Structure: optimized geometry

```
PmPr12Er5
1.0
10.951 0.000 0.000
0.000 5.182 0.000
-0.063 0.000 10.962
Pm Pr Er
1 12 5
Cartesian
0.000 0.000 0.000
-0.017 0.000 7.319
1.808 2.591 1.822
1.827 2.591 5.509
3.575 0.000 10.939
3.668 0.000 3.692
5.393 2.591 9.102
5.494 2.591 1.860
7.219 0.000 7.270
7.313 0.000 0.024
9.060 2.591 5.454
9.080 2.591 9.140
10.905 0.000 3.643
1.783 2.591 9.125
3.606 0.000 7.310
5.444 2.591 5.481
7.282 0.000 3.652
9.105 2.591 1.838
```

Results
Crystal system ... monoclinic
VASP energy ... -0.1725 Ha/atom
DOS(E_F) ... 1.62 states/eV/atom
Calculated formation energy ... 0.02 eV/atom
Total magnetic moment ... 0.0 μB per formula unit

***

[2]
Compound: PmPr2Er5
Source: Alexandria
Functional: PBE
Structure: optimized geometry

```
PmPr2Er5
1.0
7.147 0.000 0.000
0.000 14.301 0.000
0.000 0.000 5.060
Pm Pr Er
2 4 10
Cartesian
0.000 0.000 0.000
3.574 7.150 0.000
1.766 5.351 2.530
1.808 12.502 2.530
5.339 1.799 2.530
5.381 8.950 2.530
0.000 7.150 0.000
0.020 10.714 0.000
1.771 1.791 2.530
1.802 8.941 2.530
3.553 3.563 0.000
3.574 0.000 0.000
3.594 10.738 0.000
5.345 5.360 2.530
5.376 12.510 2.530
7.127 3.587 0.000
```

Results
Crystal system ... orthorhombic
Distance to the lowest polymorph of the same formula ... 0 meV/atom
VASP energy ... -0.1697 Ha/atom
DOS(E_F) ... 1.41 states/eV/atom
Calculated formation energy ... 0.02 eV/atom
Total magnetic moment ... 0.0 μB per formula unit

***

[3]
Compound: PmPr3Er3
Source: Alexandria
Functional: PBE
Structure: optimized geometry

```
PmPr3Er3
1.0
9.703 0.000 0.000
-4.852 8.403 0.000
0.000 0.000 5.806
Pm Pr Er
2 6 6
Cartesian
0.000 5.602 1.452
4.852 2.801 4.355
-1.368 3.976 4.355
-0.725 7.600 4.355
2.759 3.172 1.452
2.092 5.231 4.355
5.576 0.803 1.452
6.219 4.427 1.452
-0.684 1.943 1.452
-2.827 8.023 1.452
1.341 1.564 4.355
3.510 6.839 1.452
7.678 0.380 4.355
5.535 6.460 4.355
```

Results
Crystal system ... hexagonal
Distance to the lowest polymorph of the same formula ... 0 meV/atom
VASP energy ... -0.1710 Ha/atom
DOS(E_F) ... 1.75 states/eV/atom
Calculated formation energy ... 0.03 eV/atom
Total magnetic moment ... 0.0 μB per formula unit